Record 1
Sm4Cd2Hg: optimized geometry, PBE.

Cell: 7.877 7.877 7.877 Å, 136.82 136.82 62.71°
Fractional coordinates of all 7 atoms:
Sm 0.000 0.500 0.500
Sm 0.250 0.750 0.500
Sm 0.500 0.000 0.500
Sm 0.750 0.250 0.500
Cd 0.125 0.125 0.000
Cd 0.875 0.875 0.000
Hg 0.500 0.500 0.000

Values from the calculation:
- ΔE_f: 0.052 eV/atom
- D(E_F): 10.8 states/eV/cell
- M_tot: 0.01 Bohr magnetons per cell
- Total DFT energy (no corrections): -20.65 eV/cell

---

Record 2
MnCSCl2: optimized geometry, PBE.

Cell: 4.459 4.459 4.189 Å, 90.00 90.00 90.00°
Fractional coordinates of all 5 atoms:
Mn 0.000 0.000 0.000
C 0.500 0.500 0.500
S 0.500 0.500 0.000
Cl 0.000 0.500 0.500
Cl 0.500 0.000 0.500

Values from the calculation:
- ΔE_f (raw): 450.5 kJ/mol of formula units
- D(E_F): 1.1 states/eV/cell
- M_tot: 5.22 Bohr magnetons per cell
- Total DFT energy (no corrections): -21.54 eV/cell

---

Record 3
TaInTe2I: optimized geometry, PBE.

Cell: 5.624 5.624 5.601 Å, 90.00 90.00 90.00°
Fractional coordinates of all 5 atoms:
Ta 0.000 0.000 0.000
In 0.500 0.500 0.500
Te 0.000 0.500 0.500
Te 0.500 0.000 0.500
I 0.500 0.500 0.000

Values from the calculation:
- ΔE_f (raw): 579.1 kJ/mol of formula units
- D(E_F): 5.9 states/eV/cell
- M_tot: 2.61 Bohr magnetons per cell
- Total DFT energy (no corrections): -16.42 eV/cell